Compound: Nd4Hg2S
Source: the Alexandria database
Functional: PBE-GGA
Structure: relaxed

crystal system: monoclinic
energy relative to the lowest polymorph listed for this composition: 0.000 eV/atom
M_tot: 0.0 μB per cell

Cell and atoms, written as POSCAR:
```
Nd4Hg2S
1.0
-3.921 0.528 -1.185
-4.023 -2.519 4.996
-2.580 6.327 4.160
Nd Hg S
4 2 1
direct
0.088 0.192 0.632
0.912 0.808 0.368
0.335 0.253 0.076
0.665 0.747 0.924
0.374 0.575 0.678
0.626 0.425 0.322
0.000 0.000 0.000
```

=====

Compound: Nd3HgS2
Source: the Alexandria database
Functional: PBE-GGA
Structure: relaxed

crystal system: orthorhombic
M_tot: 0.0 μB per cell

Cell and atoms, written as POSCAR:
```
Nd3HgS2
1.0
-2.500 1.180 -3.871
-4.256 -2.815 4.813
-1.732 9.457 4.001
Nd Hg S
6 2 4
direct
0.633 0.266 0.055
0.103 0.206 0.750
0.633 0.266 0.445
0.897 0.794 0.250
0.367 0.734 0.945
0.367 0.734 0.555
0.229 0.459 0.250
0.771 0.541 0.750
0.000 0.000 0.000
0.000 0.000 0.500
0.489 0.978 0.250
0.511 0.022 0.750
```

=====

Compound: Nd2HgS
Source: the Alexandria database
Functional: PBE-GGA
Structure: relaxed

crystal system: trigonal
energy relative to the lowest polymorph listed for this composition: 0.049 eV/atom
M_tot: 0.0 μB per cell

Cell and atoms, written as POSCAR:
```
Nd2HgS
1.0
4.006 0.000 0.000
2.003 3.469 0.000
2.003 1.156 7.916
Nd Hg S
2 1 1
direct
0.069 0.069 0.793
0.263 0.263 0.210
0.500 0.500 0.501
0.668 0.668 0.996
```

=====

Compound: Nd6HgS5
Source: the Alexandria database
Functional: PBE-GGA
Structure: relaxed

crystal system: monoclinic
M_tot: 0.0 μB per cell

Cell and atoms, written as POSCAR:
```
Nd6HgS5
1.0
-6.541 2.125 1.995
0.951 -6.549 -2.737
2.951 -0.961 6.433
S Nd Hg
5 6 1
direct
0.838 0.162 0.500
0.667 0.333 0.000
0.500 0.500 0.500
0.333 0.667 0.000
0.162 0.838 0.500
0.434 0.086 0.258
0.914 0.566 0.742
0.262 0.262 0.744
0.738 0.738 0.256
0.086 0.434 0.258
0.566 0.914 0.742
0.000 0.000 0.000
```

=====

Compound: Nd3HgS
Source: the Alexandria database
Functional: PBE-GGA
Structure: relaxed

crystal system: cubic
energy relative to the lowest polymorph listed for this composition: 0.184 eV/atom
M_tot: 0.0 μB per cell

Cell and atoms, written as POSCAR:
```
Nd3HgS
1.0
5.381 0.000 0.000
0.000 5.381 0.000
0.000 0.000 5.381
S Nd Hg
1 3 1
direct
0.000 0.000 0.000
0.000 0.500 0.000
0.000 0.000 0.500
0.500 0.000 0.000
0.500 0.500 0.500
```

=====

Compound: Nd4HgS2
Source: the Alexandria database
Functional: PBE-GGA
Structure: relaxed

crystal system: orthorhombic
M_tot: 1.4 μB per cell

Cell and atoms, written as POSCAR:
```
Nd4HgS2
1.0
4.113 0.000 0.000
-2.056 6.708 0.000
0.000 0.000 14.203
Nd Hg S
8 2 4
direct
0.768 0.536 0.115
0.768 0.536 0.385
0.232 0.464 0.885
0.232 0.464 0.615
0.936 0.871 0.750
0.064 0.129 0.250
0.500 0.000 0.000
0.500 0.000 0.500
0.613 0.226 0.750
0.387 0.774 0.250
0.134 0.268 0.439
0.866 0.732 0.939
0.134 0.268 0.061
0.866 0.732 0.561
```

=====

Compound: Nd3HgS
Source: the Alexandria database
Functional: PBE-GGA
Structure: relaxed

crystal system: orthorhombic
energy relative to the lowest polymorph listed for this composition: 0.000 eV/atom
M_tot: 0.0 μB per cell

Cell and atoms, written as POSCAR:
```
Nd3HgS
1.0
-1.429 3.042 2.216
-8.485 -1.535 -3.364
-2.867 -9.912 11.756
Nd Hg S
12 4 4
direct
0.250 0.338 0.532
0.750 0.830 0.202
0.750 0.515 0.894
0.750 0.015 0.606
0.750 0.662 0.468
0.250 0.985 0.394
0.250 0.838 0.968
0.750 0.330 0.298
0.250 0.670 0.702
0.250 0.170 0.798
0.750 0.162 0.032
0.250 0.485 0.106
0.750 0.888 0.809
0.250 0.112 0.191
0.750 0.388 0.691
0.250 0.612 0.309
0.250 0.325 0.951
0.250 0.825 0.549
0.750 0.175 0.451
0.750 0.675 0.049
```

=====

Compound: NdHgS
Source: the Alexandria database
Functional: PBE-GGA
Structure: relaxed

crystal system: monoclinic
M_tot: 0.0 μB per cell

Cell and atoms, written as POSCAR:
```
NdHgS
1.0
-3.755 0.131 -1.542
1.531 -6.360 -4.268
-0.826 -9.494 6.559
S Hg Nd
4 4 4
direct
0.109 0.241 0.219
0.468 0.243 0.937
0.532 0.757 0.063
0.891 0.759 0.781
0.196 0.668 0.393
0.750 0.864 0.500
0.804 0.332 0.607
0.250 0.136 0.500
0.367 0.546 0.735
0.590 0.009 0.179
0.633 0.454 0.265
0.410 0.991 0.821
```

=====

Compound: Nd5Hg2S
Source: the Alexandria database
Functional: PBE-GGA
Structure: relaxed

crystal system: orthorhombic
M_tot: 0.0 μB per cell

Cell and atoms, written as POSCAR:
```
Nd5Hg2S
1.0
-1.586 4.035 -8.389
-7.580 1.667 2.235
3.783 11.041 4.595
Nd Hg S
20 8 4
direct
0.999 0.250 0.501
0.001 0.750 0.499
0.499 0.750 0.999
0.501 0.250 0.001
0.311 0.000 0.562
0.689 0.000 0.438
0.811 0.000 0.938
0.689 0.500 0.438
0.189 0.000 0.062
0.311 0.500 0.562
0.189 0.500 0.062
0.811 0.500 0.938
0.124 0.250 0.793
0.876 0.750 0.207
0.624 0.750 0.707
0.376 0.250 0.293
0.625 0.250 0.706
0.375 0.750 0.294
0.125 0.750 0.794
0.875 0.250 0.206
0.395 0.499 0.820
0.605 0.501 0.180
0.895 0.501 0.680
0.605 0.999 0.180
0.105 0.499 0.320
0.395 0.001 0.820
0.105 0.001 0.320
0.895 0.999 0.680
0.500 0.250 0.500
0.500 0.750 0.500
0.000 0.750 0.000
0.000 0.250 0.000
```

=====

Compound: Nd4HgSeS2
Source: the Alexandria database
Functional: PBE-GGA
Structure: relaxed

crystal system: monoclinic
M_tot: 0.0 μB per cell

Cell and atoms, written as POSCAR:
```
Nd4HgSeS2
1.0
-1.890 -2.180 -2.977
-4.836 -2.525 4.918
-5.680 4.562 0.264
Nd Hg Se S
4 1 1 2
direct
0.000 0.772 0.736
0.000 0.228 0.264
0.500 0.767 0.249
0.500 0.233 0.751
0.500 0.500 0.000
0.000 0.500 0.500
0.000 0.000 0.000
0.500 0.000 0.500
```

=====

Compound: Nd4HgTe2S
Source: the Alexandria database
Functional: PBE-GGA
Structure: relaxed

crystal system: monoclinic
M_tot: 0.0 μB per cell

Cell and atoms, written as POSCAR:
```
Nd4HgTe2S
1.0
4.279 0.000 0.000
0.000 7.631 0.194
0.000 -2.608 7.255
Nd Hg Te S
4 1 2 1
direct
0.500 0.229 0.222
0.500 0.771 0.778
0.000 0.248 0.762
0.000 0.752 0.238
0.500 0.500 0.000
0.500 0.000 0.500
0.000 0.500 0.500
0.000 0.000 0.000
```

=====

Compound: NdHgSb
Source: the Alexandria database
Functional: PBE-GGA
Structure: relaxed

crystal system: trigonal
energy relative to the lowest polymorph listed for this composition: 0.000 eV/atom
M_tot: 0.0 μB per cell

Cell and atoms, written as POSCAR:
```
NdHgSb
1.0
-1.959 2.492 3.134
-0.280 -3.798 2.845
3.830 2.811 0.159
Sb Nd Hg
1 1 1
direct
0.712 0.667 0.333
0.302 0.333 0.667
0.986 0.000 0.000
```

=====

Compound: Nd5Hg2Sb
Source: the Alexandria database
Functional: PBE-GGA
Structure: relaxed

crystal system: tetragonal
M_tot: 0.0 μB per cell

Cell and atoms, written as POSCAR:
```
Nd5Hg2Sb
1.0
8.647 0.000 0.000
0.000 8.647 0.000
-4.323 -4.323 6.545
Nd Hg Sb
10 4 2
direct
0.507 0.696 0.702
0.804 0.993 0.298
0.000 0.000 0.000
0.500 0.500 0.000
0.196 0.007 0.702
0.696 0.196 0.702
0.007 0.507 0.702
0.304 0.804 0.298
0.993 0.493 0.298
0.493 0.304 0.298
0.139 0.361 0.000
0.639 0.139 0.000
0.361 0.861 0.000
0.861 0.639 0.000
0.750 0.750 0.500
0.250 0.250 0.500
```

=====

Compound: Nd8HgSb2
Source: the Alexandria database
Functional: PBE-GGA
Structure: relaxed

crystal system: monoclinic
M_tot: 0.0 μB per cell

Cell and atoms, written as POSCAR:
```
Nd8HgSb2
1.0
5.014 0.000 0.000
0.000 7.333 0.579
-2.507 -2.415 9.542
Nd Hg Sb
8 1 2
direct
0.405 0.507 0.810
0.662 0.023 0.324
0.785 0.652 0.570
0.985 0.238 0.969
0.215 0.348 0.430
0.338 0.977 0.676
0.595 0.493 0.190
0.015 0.762 0.031
0.500 0.000 0.000
0.819 0.234 0.638
0.181 0.766 0.362
```

=====

Compound: Nd8Hg2Sb
Source: the Alexandria database
Functional: PBE-GGA
Structure: relaxed

crystal system: monoclinic
M_tot: 0.0 μB per cell

Cell and atoms, written as POSCAR:
```
Nd8Hg2Sb
1.0
5.273 0.000 0.000
0.000 7.174 0.561
-2.637 -2.394 9.274
Nd Hg Sb
8 2 1
direct
0.409 0.549 0.818
0.663 0.972 0.327
0.796 0.679 0.592
0.974 0.243 0.949
0.204 0.321 0.408
0.337 0.028 0.673
0.591 0.451 0.182
0.026 0.757 0.051
0.810 0.260 0.621
0.190 0.740 0.379
0.500 0.000 0.000
```

=====

Compound: NdHgSb
Source: the Alexandria database
Functional: PBE-GGA
Structure: relaxed

crystal system: hexagonal
energy relative to the lowest polymorph listed for this composition: 0.102 eV/atom
M_tot: 0.0 μB per cell

Cell and atoms, written as POSCAR:
```
NdHgSb
1.0
-4.388 -1.421 -2.268
0.421 -0.175 5.119
-2.418 6.782 0.431
Nd Sb Hg
2 2 2
direct
0.000 0.000 0.753
0.000 0.000 0.247
0.333 0.667 0.000
0.667 0.333 0.000
0.667 0.333 0.500
0.333 0.667 0.500
```

=====

Compound: NdHgSb
Source: the Alexandria database
Functional: PBE-GGA
Structure: relaxed

crystal system: cubic
energy relative to the lowest polymorph listed for this composition: 0.103 eV/atom
M_tot: 0.0 μB per cell

Cell and atoms, written as POSCAR:
```
NdHgSb
1.0
5.243 0.000 0.000
2.621 4.540 0.000
2.621 1.513 4.281
Sb Nd Hg
1 1 1
direct
0.500 0.500 0.500
0.250 0.250 0.250
0.000 0.000 0.000
```

=====

Compound: Nd7Hg2Sb2
Source: the Alexandria database
Functional: PBE-GGA
Structure: relaxed

crystal system: orthorhombic
M_tot: 0.0 μB per cell

Cell and atoms, written as POSCAR:
```
Nd7Hg2Sb2
1.0
-3.431 -6.345 -1.601
3.701 -3.281 5.075
-4.625 2.675 5.103
Nd Hg Sb
7 2 2
direct
0.000 0.270 0.500
0.500 0.730 0.000
0.000 0.730 0.500
0.500 0.270 0.000
0.000 0.000 0.000
0.500 0.743 0.500
0.500 0.257 0.500
0.725 0.000 0.275
0.275 0.000 0.725
0.805 0.500 0.805
0.195 0.500 0.195
```

=====

Compound: Nd3HgSb
Source: the Alexandria database
Functional: PBE-GGA
Structure: relaxed

crystal system: monoclinic
M_tot: 0.0 μB per cell

Cell and atoms, written as POSCAR:
```
Nd3HgSb
1.0
-3.796 0.400 1.904
3.996 -5.952 4.435
3.300 6.637 5.175
Nd Hg Sb
6 2 2
direct
0.063 0.160 0.404
0.426 0.884 0.640
0.618 0.270 0.781
0.980 0.994 0.017
0.262 0.557 0.036
0.782 0.597 0.386
0.225 0.483 0.620
0.819 0.671 0.802
0.416 0.865 0.277
0.628 0.289 0.144
```

=====

Compound: NdHgSb
Source: the Alexandria database
Functional: PBE-GGA
Structure: relaxed

crystal system: tetragonal
energy relative to the lowest polymorph listed for this composition: 0.084 eV/atom
M_tot: 0.0 μB per cell

Cell and atoms, written as POSCAR:
```
NdHgSb
1.0
-3.573 0.939 2.150
-0.236 -4.041 1.374
4.496 2.694 2.046
Sb Nd Hg
1 1 1
direct
0.274 0.274 0.549
0.626 0.626 0.251
0.950 0.950 0.900
```

=====

Compound: Nd2HgSb
Source: the Alexandria database
Functional: PBE-GGA
Structure: relaxed

crystal system: trigonal
energy relative to the lowest polymorph listed for this composition: 0.047 eV/atom
M_tot: 0.0 μB per cell

Cell and atoms, written as POSCAR:
```
Nd2HgSb
1.0
-1.930 3.085 2.484
-2.803 -1.176 3.190
4.279 0.267 6.902
Sb Nd Hg
1 2 1
direct
0.000 0.000 0.000
0.746 0.746 0.763
0.254 0.254 0.237
0.500 0.500 0.500
```

=====

Compound: Nd5HgSb4
Source: the Alexandria database
Functional: PBE-GGA
Structure: relaxed

crystal system: tetragonal
M_tot: 0.0 μB per cell

Cell and atoms, written as POSCAR:
```
Nd5HgSb4
1.0
6.382 0.000 0.000
3.191 7.149 0.000
3.191 0.000 7.149
Nd Hg Sb
5 1 4
direct
0.896 0.415 0.796
0.310 0.796 0.585
0.692 0.204 0.415
0.106 0.585 0.204
0.501 0.000 0.000
0.002 0.000 0.000
0.400 0.400 0.802
0.800 0.802 0.600
0.202 0.198 0.400
0.602 0.600 0.198
```

=====

One value per record, in order, for energy relative to the elements, uncorrected: -831.5, -1237.6, -1162.4, -1742.4, -790.0, -1298.3, -974.4, -1086.8, -727.8, -1558.1, -1313.8, -640.4, -531.7, -437.5, -315.3, -538.3, -537.8, -264.7, -585.0, -556.3, -728.7, -993.4 meV/atom.